(1)
Computed, not measured: crystalline CaGeSe at its relaxed geometry at the GGA-PBE level of DFT.

Values from the calculation:
Raw formation energy = -78 kJ per mole of atoms

Cell lengths 3.836, 4.747, 17.214 Å; angles 90.00, 90.00, 90.00 degrees
Space group Immm (No. 71)
One atom of each set of equivalent atoms:
Ca  0.000  0.000  0.160
Ge  0.000  0.253  0.500
Se  0.000  0.000  0.331



(2)
Computed, not measured: crystalline Rb3Np3GeS8 at its relaxed geometry at the GGA-PBE level of DFT.

Values from the calculation:
Raw formation energy = -116 kJ per mole of atoms

Cell lengths 8.1132, 8.1132, 23.0800 Å; angles 90.00, 90.00, 120.00 degrees
Space group R-3m (No. 166, hexagonal axes)
One atom of each set of equivalent atoms:
Rb  0.0000  0.5000  0.0000
Np  0.0000  0.5000  0.5000
Ge  0.0000  0.0000  0.5000
S  0.0000  0.0000  0.2298
S  0.0054  0.5027  0.7730



(3)
Computed, not measured: crystalline ScTcW2Br at its relaxed geometry at the GGA-PBE level of DFT.

Values from the calculation:
Raw formation energy = 148 kJ per mole of atoms

Cell lengths 4.747, 4.747, 5.082 Å; angles 90.00, 90.00, 90.00 degrees
Space group P4/mmm (No. 123)
One atom of each set of equivalent atoms:
Sc  0.000  0.000  0.000
Tc  0.500  0.500  0.500
W  0.000  0.500  0.500
Br  0.500  0.500  0.000



(4)
Computed, not measured: crystalline Pd2S2O7 at its relaxed geometry at the GGA-PBE level of DFT.

Values from the calculation:
Raw formation energy = -66 kJ per mole of atoms

Cell lengths 7.574, 9.160, 5.250 Å; angles 90.00, 114.09, 90.00 degrees
Space group C2/m (No. 12)
One atom of each set of equivalent atoms:
Pd  0.000  0.195  0.000
S  0.193  0.500  0.439
O  0.000  0.500  0.500
O  0.145  0.000  0.279
O  0.187  0.366  0.289



(5)
Computed, not measured: crystalline Ti6Co5Re at its relaxed geometry at the GGA-PBE level of DFT.

Values from the calculation:
Formation energy from the elements = -0.403 eV/atom

Cell lengths 4.256, 6.009, 12.724 Å; angles 90.00, 90.00, 90.00 degrees
Space group Immm (No. 71)
One atom of each set of equivalent atoms:
Ti  0.000  0.246  0.000
Ti  0.000  0.252  0.332
Co  0.000  0.000  0.169
Co  0.000  0.500  0.167
Co  0.000  0.500  0.500
Re  0.000  0.000  0.500



(6)
Computed, not measured: crystalline SnRh2Pb4 at its relaxed geometry at the GGA-PBE level of DFT.

Values from the calculation:
Formation energy from the elements = 0.587 eV/atom

Cell lengths 5.618, 5.618, 13.768 Å; angles 90.00, 90.00, 90.00 degrees
Space group I4/mmm (No. 139)
One atom of each set of equivalent atoms:
Sn  0.000  0.000  0.000
Rh  0.000  0.000  0.409
Pb  0.000  0.000  0.222
Pb  0.000  0.500  0.000



(7)
Computed, not measured: crystalline MgMnZn at its relaxed geometry at the GGA-PBE level of DFT.

Values from the calculation:
Formation energy from the elements = 0.203 eV/atom

Cell lengths 8.545, 3.159, 7.161 Å; angles 90.00, 90.00, 90.00 degrees
Space group Pnma (No. 62)
One atom of each set of equivalent atoms:
Mg  0.106  0.250  0.151
Mn  0.079  0.750  0.478
Zn  0.154  0.250  0.765



(8)
Computed, not measured: crystalline MgAsO2 at its relaxed geometry at the GGA-PBE level of DFT.

Values from the calculation:
Relative energy among the computed polymorphs = 416 meV/atom
Raw formation energy = -115 kJ per mole of atoms

Cell lengths 4.777, 4.777, 10.073 Å; angles 90.00, 90.00, 90.00 degrees
Space group I-42d (No. 122)
One atom of each set of equivalent atoms:
Mg  0.000  0.000  0.000
As  0.000  0.000  0.500
O  0.217  0.250  0.125



(9)
Computed, not measured: crystalline Cs2PuAg2Cl6 at its relaxed geometry at the GGA-PBE level of DFT.

Values from the calculation:
Raw formation energy = -134 kJ per mole of atoms

Cell lengths 13.603, 7.877, 8.626 Å; angles 90.00, 121.40, 90.00 degrees
Space group C2/m (No. 12)
One atom of each set of equivalent atoms:
Cs  0.218  0.000  0.189
Pu  0.000  0.000  0.500
Ag  0.048  0.500  0.187
Cl  0.055  0.234  0.773
Cl  0.229  0.000  0.603



(10)
Computed, not measured: crystalline Nd8SmTh3 at its relaxed geometry at the GGA-PBE level of DFT.

Values from the calculation:
Formation energy from the elements = 0.059 eV/atom

Cell lengths 6.313, 6.336, 10.924 Å; angles 73.42, 84.44, 80.26 degrees
Space group P-1 (No. 2)
One atom of each set of equivalent atoms:
Nd  0.005  0.335  0.166
Nd  0.248  0.418  0.583
Nd  0.256  0.082  0.919
Nd  0.491  0.172  0.328
Sm  0.000  0.000  0.500
Th  0.255  0.745  0.248
Th  0.500  0.500  0.000



(11)
Computed, not measured: crystalline InMo2Cl at its relaxed geometry at the GGA-PBE level of DFT.

Values from the calculation:
Relative energy among the computed polymorphs = 402 meV/atom
Raw formation energy = 50 kJ per mole of atoms

Cell lengths 2.9790, 2.9790, 26.6643 Å; angles 90.00, 90.00, 120.00 degrees
Space group R-3m (No. 166, hexagonal axes)
One atom of each set of equivalent atoms:
In  0.0000  0.0000  0.0000
Mo  0.0000  0.0000  0.2437
Cl  0.0000  0.0000  0.5000



(12)
Computed, not measured: crystalline CoAgOsRh2 at its relaxed geometry at the GGA-PBE level of DFT.

Values from the calculation:
Formation energy from the elements = 2.687 eV/atom

Cell lengths 4.745, 4.745, 4.784 Å; angles 90.00, 90.00, 90.00 degrees
Space group P4/mmm (No. 123)
One atom of each set of equivalent atoms:
Co  0.000  0.000  0.000
Ag  0.500  0.500  0.500
Os  0.500  0.500  0.000
Rh  0.000  0.500  0.500



Record order is preserved below.
Final energy: -4.17; -6.50; -7.32; -5.54; -8.35; -4.20; -3.81; -5.23; -4.37; -5.37; -6.04; -4.49 eV per atom